No. 1
4
Lattice="4.9291 0.0000 0.0000 2.4645 4.2687 0.0000 2.4645 1.4229 4.0246" Properties=species:S:1:pos:R:3 comment="Sn2GeS (GGA-PBEsol, optimized geometry)" e_form_raw_ev_per_atom=0.064 magmom_total_mub_per_cell=0.000 dft_energy_ev_per_atom=-4.40 space_group="Fm-3m (225)" pbc="T T T"
Sn 7.3936 4.2687 3.0184
S 0.0000 0.0000 0.0000
Sn 2.4645 1.4229 1.0061
Ge 4.9291 2.8458 2.0123

=====

No. 2
20
Lattice="6.8194 0.0818 0.0000 -1.9698 6.9291 0.0000 0.0000 0.0000 10.0265" Properties=species:S:1:pos:R:3 comment="SnGeS3 (GGA-PBEsol, optimized geometry)" e_form_raw_ev_per_atom=-0.396 e_above_lowest_polymorph_mev_per_atom=0 magmom_total_mub_per_cell=0.000 dft_energy_ev_per_atom=-4.87 space_group="P2_1/c (14)" pbc="T T T"
S 6.1769 0.4425 8.2516
S 5.7734 1.6239 5.0219
Sn 3.2560 6.1084 5.8728
Sn 5.0034 0.9433 0.8595
Ge 2.7612 2.2696 7.9544
S 0.3019 3.3600 2.1346
S -0.9237 5.3870 5.0046
S 2.0825 6.6092 3.2383
Ge 6.1709 2.3105 7.0853
Ge 2.0885 4.7412 2.0721
S 1.1380 3.6100 7.1478
S -1.3272 6.5684 1.7749
S 2.3637 1.5830 10.0179
S 2.7672 0.4016 6.7882
S 3.7116 3.4009 2.8787
Sn -0.1537 6.0675 9.1670
Ge -1.3212 4.7004 2.9412
Sn 1.5937 0.9025 4.1537
S 2.4860 5.4279 0.0086
S 4.5477 3.6509 7.8919

=====

No. 3
5
Lattice="-0.7782 -0.0969 4.6086 1.4005 -4.4578 0.1428 4.3917 1.4044 0.7711" Properties=species:S:1:pos:R:3 comment="SnGeS3 (GGA-PBEsol, optimized geometry)" e_form_raw_ev_per_atom=0.013 e_above_lowest_polymorph_mev_per_atom=408 magmom_total_mub_per_cell=0.000 dft_energy_ev_per_atom=-4.46 space_group="Pm-3m (221)" pbc="T T T"
S 2.1959 0.7022 0.3855
S 0.7002 -2.2289 0.0714
S -0.3891 -0.0484 2.3043
Sn 2.5070 -1.5752 2.7612
Ge 0.0000 0.0000 0.0000

=====

No. 4
5
Lattice="-2.8991 -4.5336 -2.2370 4.8794 -3.1840 0.1292 -1.3227 -1.8087 5.3798" Properties=species:S:1:pos:R:3 comment="Sr3GeS (GGA-PBEsol, optimized geometry)" e_form_raw_ev_per_atom=-0.480 magmom_total_mub_per_cell=0.000 dft_energy_ev_per_atom=-3.45 space_group="Pm-3m (221)" pbc="T T T"
Ge 0.0000 0.0000 0.0000
S 0.3288 -4.7631 1.6360
Sr -1.4496 -2.2668 -1.1185
Sr -0.6614 -0.9043 2.6899
Sr 2.4397 -1.5920 0.0646

=====

No. 5
14
Lattice="6.6058 0.0000 0.0000 0.0000 6.6623 -0.0182 0.0000 -2.5277 7.7595" Properties=species:S:1:pos:R:3 comment="Sr2GeS4 (GGA-PBEsol, optimized geometry)" e_form_raw_ev_per_atom=-1.436 magmom_total_mub_per_cell=0.000 dft_energy_ev_per_atom=-5.17 space_group="P2_1/m (11)" pbc="T T T"
Ge 1.6515 1.3223 1.5427
S 3.2569 1.4815 5.7318
Sr 4.9544 -0.5461 7.3308
S 1.6515 -1.6832 7.1470
S 4.9544 4.5389 4.8155
S 1.6515 -0.4043 2.9258
Sr 1.6515 3.6598 4.3816
S 6.5598 2.6531 2.0095
S 3.3490 2.6531 2.0095
Sr 1.6515 4.6806 0.4105
Ge 4.9544 2.8122 6.1986
S 4.9544 5.8178 0.5942
Sr 4.9544 0.4748 3.3597
S 0.0460 1.4815 5.7318

=====

No. 6
5
Lattice="-2.1324 -4.9823 0.6018 4.8216 -2.2154 -1.2558 1.4306 0.0422 5.4184" Properties=species:S:1:pos:R:3 comment="SrTlGeS2 (GGA-PBEsol, optimized geometry)" e_form_raw_ev_per_atom=0.287 magmom_total_mub_per_cell=0.001 dft_energy_ev_per_atom=-3.35 space_group="P4/mmm (123)" pbc="T T T"
Sr 0.0000 0.0000 0.0000
Ge 0.7153 0.0211 2.7092
S 2.4108 -1.1077 -0.6279
S -1.0662 -2.4911 0.3009
Tl 2.0599 -3.5777 2.3822